# 1
Compound: K3Np3HgTe8
Source: Alexandria
Functional: PBE-GGA
Structure: optimized geometry

a b c (Å): 9.3451 8.8544 9.5081
angles (deg): 115.30 90.03 121.84
Each line ends with the local moment (μB).
Element x y z (fractional)
Te (0.7862, 0.5725, 0.3098)  -0.08
K (0.0000, 0.5000, 0.0000)  0.00
Np (0.5000, 0.0000, 0.5000)  3.64
K (0.5000, 0.5000, 0.0000)  0.00
Te (0.3011, 0.0414, 0.2803)  -0.14
Np (0.0000, 0.5000, 0.5000)  3.75
Te (0.6989, 0.9586, 0.7197)  -0.14
Hg (0.0000, 0.0000, 0.5000)  0.00
K (0.0000, 0.0000, 0.0000)  0.00
Te (0.2138, 0.4275, 0.6902)  -0.08
Np (0.5000, 0.5000, 0.5000)  3.75
Te (0.2618, 0.5237, 0.2901)  -0.09
Te (0.7400, 0.0416, 0.2802)  -0.14
Te (0.7382, 0.4763, 0.7099)  -0.09
Te (0.2600, 0.9584, 0.7198)  -0.14



# 2
Compound: K2NpHgTe4
Source: Alexandria
Functional: PBE-GGA
Structure: optimized geometry

a b c (Å): 7.5904 7.1740 7.1740
angles (deg): 73.75 58.06 58.06
Each line ends with the local moment (μB).
Element x y z (fractional)
Te (0.4437, 0.6294, 0.0000)  -0.11
Hg (0.5000, 0.0000, 0.0000)  -0.02
Np (0.0000, 0.0000, 0.0000)  3.66
Te (0.5563, 0.0000, 0.3706)  -0.11
Te (0.0731, 0.3706, 0.0000)  -0.11
K (0.5000, 0.5000, 0.5000)  0.00
Te (0.9269, 0.0000, 0.6294)  -0.11
K (0.0000, 0.5000, 0.5000)  0.00



# 3
Compound: K2NpHg2Te4
Source: Alexandria
Functional: PBE-GGA
Structure: optimized geometry

a b c (Å): 4.4147 8.8983 9.1758
angles (deg): 115.55 103.92 90.00
Each line ends with the local moment (μB).
Element x y z (fractional)
Np (0.0000, 0.0000, 0.0000)  3.65
K (0.8723, 0.4167, 0.7446)  0.00
Te (0.1833, 0.2470, 0.3666)  -0.11
Te (0.4819, 0.2298, 0.9637)  -0.08
Te (0.8167, 0.7530, 0.6334)  -0.11
Hg (0.6971, 0.0249, 0.3942)  -0.01
K (0.1277, 0.5833, 0.2554)  0.00
Hg (0.3029, 0.9751, 0.6058)  -0.01
Te (0.5181, 0.7702, 0.0363)  -0.08



# 4
Compound: K4HgO
Source: Alexandria
Functional: PBE-GGA
Structure: optimized geometry

a b c (Å): 4.9657 4.9673 8.4081
angles (deg): 89.81 89.90 90.00
Element x y z (fractional)
O (0.0013, 0.9973, 0.4981)
K (0.0008, 0.4957, 0.3079)
K (0.5021, 0.9983, 0.6884)
K (0.5005, 0.9963, 0.3079)
K (0.0018, 0.4988, 0.6884)
Hg (0.5013, 0.4973, 0.9981)



For each record above, in turn, the calculated energy relative to the elements, uncorrected values are -0.707, -0.578, -0.578, -0.429 eV per atom.
For each record above, in turn, the calculated DOS(E_F) values are 23.5, 10.3, 10.5, 3.9 states/eV/f.u..
For each record above, in turn, the calculated size of the total moment values are 10.00, 2.99, 3.12, 0.01 μB per formula unit.